[1]
## CaCdRe (PBE)

Data for a geometry-optimized CaCdRe structure.

```
CaCdRe
1.0
0.0000 3.4387 3.4387
3.4387 0.0000 3.4387
3.4387 3.4387 0.0000
Ca Cd Re
1 1 1
direct
0.0000 0.0000 0.0000
0.7500 0.7500 0.7500
0.2500 0.2500 0.2500
```

Values from the calculation:
ΔE to the lowest computed polymorph, meV per atom: 1007


[2]
## CaCdRe (PBE)

Data for a geometry-optimized CaCdRe structure.

```
CaCdRe
1.0
0.0000 2.1507 7.3227
1.9141 0.0000 7.3227
1.9141 2.1507 0.0000
Ca Cd Re
1 1 1
direct
0.0000 0.0000 0.0000
0.6840 0.6840 0.3160
0.3379 0.3379 0.6621
```

Values from the calculation:
ΔE to the lowest computed polymorph, meV per atom: 12


Respective calculated volume values: 81, 60 Å³/f.u..
Respective DFT formation energy values: 1568, 574 meV/atom.